A plane-wave DFT calculation with PBE was carried out for crystalline MoOsSe at its relaxed geometry.

abc: 12.589 2.965 5.191
angles: 90.00 90.00 90.00
Space group Amm2 (No. 38)
Asymmetric unit:
Mo  0.000  0.000  0.000 [2 per cell]
Mo  0.500  0.000  0.055 [2 per cell]
Os  0.338  0.000  0.736 [4 per cell]
Se  0.149  0.000  0.328 [4 per cell]

Properties
- Formation energy (no corrections): 0.9 eV per formula unit
- ρ: 12.52 Mg/m³
- Total magnetization: 0.000 μB/f.u.
- Distance to the lowest polymorph of the same formula: 93 meV per atom

A plane-wave DFT calculation with PBE was carried out for crystalline LiCd2Pb5 at its relaxed geometry.

abc: 10.889 7.580 7.693
angles: 90.00 134.96 90.00
Space group Cm (No. 8)
Asymmetric unit:
Li  0.000  0.000  0.000 [2 per cell]
Cd  0.000  0.000  0.500 [2 per cell]
Cd  0.001  0.500  0.500 [2 per cell]
Pb  0.000  0.500  0.000 [2 per cell]
Pb  0.250  0.250  0.000 [4 per cell]
Pb  0.250  0.250  0.500 [4 per cell]

Properties
- ρ: 9.37 Mg/m³
- Total magnetization: 0.000 μB/f.u.
- Distance to the lowest polymorph of the same formula: 16 meV per atom

A plane-wave DFT calculation with PBE was carried out for crystalline Cu2Te6Br at its relaxed geometry.

abc: 14.647 12.146 7.305
angles: 90.00 104.14 90.00
Space group C2/c (No. 15)
Asymmetric unit:
Cu  0.210  0.085  0.152 [8 per cell]
Te  0.030  0.105  0.076 [8 per cell]
Te  0.191  0.264  0.631 [8 per cell]
Te  0.227  0.415  0.148 [8 per cell]
Br  0.000  0.319  0.750 [4 per cell]

Properties
- Formation energy (no corrections): 0.1 eV per formula unit
- ρ: 5.13 Mg/m³
- Total magnetization: 0.000 μB/f.u.

A plane-wave DFT calculation with PBE was carried out for crystalline Ba3Tl4Cd7 at its relaxed geometry.

abc: 18.586 5.282 10.346
angles: 90.00 123.77 90.00
Space group C2/m (No. 12)
Asymmetric unit:
Ba  0.000  0.000  0.000 [2 per cell]
Ba  0.208  0.500  0.705 [4 per cell]
Tl  0.146  0.000  0.858 [4 per cell]
Tl  0.159  0.500  0.302 [4 per cell]
Cd  0.000  0.000  0.500 [2 per cell]
Cd  0.001  0.500  0.332 [4 per cell]
Cd  0.134  0.000  0.422 [4 per cell]
Cd  0.149  0.500  0.006 [4 per cell]

Properties
- VASP energy: -1.812 eV per atom
- ρ: 7.93 Mg/m³
- Total magnetization: 0.000 μB/f.u.

A plane-wave DFT calculation with PBE was carried out for crystalline Sm5MgIn6 at its relaxed geometry.

abc: 16.945 7.623 5.343
angles: 90.00 108.12 90.00
Space group C2/m (No. 12)
Asymmetric unit:
Sm  0.000  0.000  0.000 [2 per cell]
Sm  0.166  0.000  0.665 [4 per cell]
Sm  0.167  0.500  0.666 [4 per cell]
Mg  0.000  0.500  0.000 [2 per cell]
In  0.000  0.263  0.500 [4 per cell]
In  0.161  0.258  0.160 [8 per cell]

Properties
- VASP energy: -3.899 eV per atom
- ρ: 7.42 Mg/m³
- Total magnetization: 0.000 μB/f.u.

A plane-wave DFT calculation with PBE was carried out for crystalline CeCuPt4 at its relaxed geometry.

abc: 7.391 4.107 6.888
angles: 90.00 90.00 90.00
Space group Pmma (No. 51)
Asymmetric unit:
Ce  0.250  0.000  0.147 [2 per cell]
Cu  0.250  0.000  0.746 [2 per cell]
Pt  0.000  0.000  0.500 [2 per cell]
Pt  0.040  0.500  0.809 [4 per cell]
Pt  0.250  0.500  0.465 [2 per cell]

Properties
- ρ: 15.63 Mg/m³
- Total magnetization: 0.000 μB/f.u.
- Distance to the lowest polymorph of the same formula: 69 meV per atom

Question: Look up the ρ of the sixth one.
Answer: 15.63 Mg/m³

What did the fourth record say?
A plane-wave DFT calculation with PBE was carried out for crystalline Ba3Tl4Cd7 at its relaxed geometry.

abc: 18.586 5.282 10.346
angles: 90.00 123.77 90.00
Space group C2/m (No. 12)
Asymmetric unit:
Ba  0.000  0.000  0.000 [2 per cell]
Ba  0.208  0.500  0.705 [4 per cell]
Tl  0.146  0.000  0.858 [4 per cell]
Tl  0.159  0.500  0.302 [4 per cell]
Cd  0.000  0.000  0.500 [2 per cell]
Cd  0.001  0.500  0.332 [4 per cell]
Cd  0.134  0.000  0.422 [4 per cell]
Cd  0.149  0.500  0.006 [4 per cell]

Properties
- VASP energy: -1.812 eV per atom
- ρ: 7.93 Mg/m³
- Total magnetization: 0.000 μB/f.u.

Question: Look up the total magnetization of the third one.
Answer: 0.000 μB/f.u.